[1]
Pm4ErCd5 | Alexandria | PBE | optimized geometry; energy of formation from the pure elements = -316 meV per atom
1.0
3.794 0.000 0.000
0.000 3.794 0.000
0.000 0.000 19.183
Pm Er Cd
4 1 5
direct
0.000 0.000 0.102 Pm
0.000 0.000 0.304 Pm
0.000 0.000 0.696 Pm
0.000 0.000 0.898 Pm
0.000 0.000 0.500 Er
0.500 0.500 0.000 Cd
0.500 0.500 0.202 Cd
0.500 0.500 0.408 Cd
0.500 0.500 0.592 Cd
0.500 0.500 0.798 Cd

[2]
Ba2CrFeH | Alexandria | PBE | optimized geometry; DFT total energy = -4.203 eV per atom
1.0
6.172 0.000 0.000
0.000 6.172 0.000
0.000 0.000 3.511
Ba Cr Fe H
2 1 1 1
direct
0.000 0.500 0.000 Ba
0.500 0.000 0.000 Ba
0.000 0.000 0.000 Cr
0.500 0.500 0.500 Fe
0.000 0.000 0.500 H

[3]
TbMgPd | Alexandria | PBE | optimized geometry; energy of formation from the pure elements = -548 meV per atom
1.0
-1.738 1.738 5.457
1.738 -1.738 5.457
1.738 1.738 -5.457
Tb Mg Pd
1 1 1
direct
0.000 0.000 0.000 Tb
0.714 0.714 0.000 Mg
0.344 0.344 0.000 Pd

[4]
InRhF3 | Alexandria | PBE | optimized geometry; energy above the lowest structure with this stoichiometry = 0.000 eV per atom; uncorrected formation energy = -1.29 eV per atom
1.0
4.305 0.000 0.000
0.000 4.305 0.000
0.000 0.000 4.305
In Rh F
1 1 3
direct
0.000 0.000 0.000 In
0.500 0.500 0.500 Rh
0.000 0.500 0.500 F
0.500 0.000 0.500 F
0.500 0.500 0.000 F

[5]
MgIn3Ge | Alexandria | PBE | optimized geometry; energy above the lowest structure with this stoichiometry = 0.000 eV per atom; energy of formation from the pure elements = 379 meV per atom
1.0
5.390 0.000 0.000
0.000 5.390 0.000
0.000 0.000 5.390
Mg In Ge
1 3 1
direct
0.000 0.000 0.000 Mg
0.000 0.500 0.500 In
0.500 0.000 0.500 In
0.500 0.500 0.000 In
0.500 0.500 0.500 Ge

[6]
PmTlPtO6 | Alexandria | PBE | optimized geometry; uncorrected formation energy = -1.12 eV per atom
1.0
5.749 0.000 0.000
-2.875 4.979 0.000
0.000 0.000 8.789
Pm Tl Pt O
2 2 2 12
direct
0.333 0.667 0.250 Pm
0.667 0.333 0.750 Pm
0.000 0.000 0.000 Tl
0.000 0.000 0.500 Tl
0.333 0.667 0.750 Pt
0.667 0.333 0.250 Pt
0.045 0.380 0.624 O
0.045 0.665 0.876 O
0.335 0.380 0.876 O
0.335 0.955 0.624 O
0.380 0.045 0.124 O
0.380 0.335 0.376 O
0.620 0.665 0.624 O
0.620 0.955 0.876 O
0.665 0.045 0.376 O
0.665 0.620 0.124 O
0.955 0.335 0.124 O
0.955 0.620 0.376 O

[7]
Ac2La6Cd | Alexandria | PBE | optimized geometry; energy above the lowest structure with this stoichiometry = 0.000 eV per atom; energy of formation from the pure elements = -31 meV per atom
1.0
10.072 0.000 0.000
-5.036 8.723 0.000
0.000 0.000 3.875
Ac La Cd
2 6 1
direct
0.333 0.667 0.000 Ac
0.667 0.333 0.000 Ac
0.000 0.365 0.500 La
0.000 0.728 0.000 La
0.272 0.272 0.000 La
0.365 0.000 0.500 La
0.635 0.635 0.500 La
0.728 0.000 0.000 La
0.000 0.000 0.500 Cd

[8]
HfTlAg3 | Alexandria | PBE | optimized geometry; energy above the lowest structure with this stoichiometry = 0.178 eV per atom; energy of formation from the pure elements = 1120 meV per atom
1.0
5.100 0.000 0.000
0.000 5.100 0.000
0.000 0.000 5.100
Hf Tl Ag
1 1 3
direct
0.000 0.000 0.000 Hf
0.500 0.500 0.500 Tl
0.000 0.500 0.500 Ag
0.500 0.000 0.500 Ag
0.500 0.500 0.000 Ag

[9]
Li2TiFe | Alexandria | PBE | optimized geometry; energy above the lowest structure with this stoichiometry = 0.269 eV per atom; energy of formation from the pure elements = 586 meV per atom
1.0
0.000 2.940 2.940
2.940 0.000 2.940
2.940 2.940 0.000
Li Ti Fe
2 1 1
direct
0.250 0.250 0.250 Li
0.750 0.750 0.750 Li
0.000 0.000 0.000 Ti
0.500 0.500 0.500 Fe

[10]
Cd3Ga5Au12 | Alexandria | PBE | optimized geometry; energy of formation from the pure elements = 2 meV per atom
1.0
-7.762 7.762 7.762
7.762 -7.762 7.762
7.762 7.762 -7.762
Cd Ga Au
12 20 48
direct
0.125 0.250 0.375 Cd
0.125 0.375 0.750 Cd
0.250 0.375 0.125 Cd
0.250 0.875 0.625 Cd
0.375 0.125 0.250 Cd
0.375 0.750 0.125 Cd
0.625 0.250 0.875 Cd
0.625 0.875 0.750 Cd
0.750 0.125 0.375 Cd
0.750 0.625 0.875 Cd
0.875 0.625 0.250 Cd
0.875 0.750 0.625 Cd
0.000 0.000 0.000 Ga
0.000 0.000 0.500 Ga
0.000 0.500 0.000 Ga
0.000 0.500 0.500 Ga
0.125 0.750 0.875 Ga
0.125 0.875 0.250 Ga
0.250 0.125 0.875 Ga
0.250 0.625 0.375 Ga
0.375 0.250 0.625 Ga
0.375 0.625 0.750 Ga
0.500 0.000 0.000 Ga
0.500 0.000 0.500 Ga
0.500 0.500 0.000 Ga
0.500 0.500 0.500 Ga
0.625 0.375 0.250 Ga
0.625 0.750 0.375 Ga
0.750 0.375 0.625 Ga
0.750 0.875 0.125 Ga
0.875 0.125 0.750 Ga
0.875 0.250 0.125 Ga
0.056 0.222 0.135 Au
0.056 0.334 0.921 Au
0.079 0.635 0.413 Au
0.079 0.944 0.666 Au
0.087 0.722 0.666 Au
0.087 0.865 0.421 Au
0.135 0.056 0.222 Au
0.135 0.579 0.913 Au
0.166 0.222 0.587 Au
0.166 0.444 0.579 Au
0.222 0.135 0.056 Au
0.222 0.587 0.166 Au
0.278 0.334 0.913 Au
0.278 0.444 0.365 Au
0.334 0.913 0.278 Au
0.334 0.921 0.056 Au
0.365 0.278 0.444 Au
0.365 0.587 0.921 Au
0.413 0.079 0.635 Au
0.413 0.834 0.778 Au
0.421 0.087 0.865 Au
0.421 0.834 0.556 Au
0.444 0.365 0.278 Au
0.444 0.579 0.166 Au
0.556 0.421 0.834 Au
0.556 0.635 0.722 Au
0.579 0.166 0.444 Au
0.579 0.913 0.135 Au
0.587 0.166 0.222 Au
0.587 0.921 0.365 Au
0.635 0.413 0.079 Au
0.635 0.722 0.556 Au
0.666 0.079 0.944 Au
0.666 0.087 0.722 Au
0.722 0.556 0.635 Au
0.722 0.666 0.087 Au
0.778 0.413 0.834 Au
0.778 0.865 0.944 Au
0.834 0.556 0.421 Au
0.834 0.778 0.413 Au
0.865 0.421 0.087 Au
0.865 0.944 0.778 Au
0.913 0.135 0.579 Au
0.913 0.278 0.334 Au
0.921 0.056 0.334 Au
0.921 0.365 0.587 Au
0.944 0.666 0.079 Au
0.944 0.778 0.865 Au

[11]
CdGePd2 | Alexandria | PBE | optimized geometry; energy of formation from the pure elements = -379 meV per atom
1.0
3.121 0.000 0.000
0.000 3.121 0.000
0.000 0.000 6.837
Cd Ge Pd
1 1 2
direct
0.000 0.000 0.000 Cd
0.000 0.000 0.500 Ge
0.500 0.500 0.281 Pd
0.500 0.500 0.719 Pd

[12]
Sr3NbZn | Alexandria | PBE | optimized geometry; energy above the lowest structure with this stoichiometry = 0.000 eV per atom; energy of formation from the pure elements = 778 meV per atom
1.0
5.960 0.000 0.000
0.000 5.960 0.000
0.000 0.000 5.960
Sr Nb Zn
3 1 1
direct
0.000 0.000 0.500 Sr
0.000 0.500 0.000 Sr
0.500 0.000 0.000 Sr
0.500 0.500 0.500 Nb
0.000 0.000 0.000 Zn

[13]
KNiTeCl6 | Alexandria | PBE | optimized geometry; uncorrected formation energy = -0.80 eV per atom
1.0
6.626 0.000 0.000
-0.609 6.604 0.000
-0.280 -2.572 6.241
K Ni Te Cl
1 1 1 6
direct
0.000 0.000 0.000 K
0.419 0.750 0.330 Ni
0.489 0.379 0.640 Te
0.226 0.452 0.370 Cl
0.254 0.018 0.600 Cl
0.302 0.635 0.985 Cl
0.643 0.031 0.309 Cl
0.690 0.697 0.585 Cl
0.748 0.383 0.914 Cl

[14]
Cr2CoTc | Alexandria | PBE | optimized geometry; energy of formation from the pure elements = 264 meV per atom
1.0
1.299 0.750 8.444
-1.299 0.750 8.444
0.000 -1.500 8.444
Cr Co Tc
2 1 1
direct
0.000 0.000 0.000 Cr
0.250 0.250 0.250 Cr
0.506 0.506 0.506 Co
0.753 0.753 0.753 Tc

[15]
MgAl2Au | Alexandria | PBE | optimized geometry; energy of formation from the pure elements = -160 meV per atom
1.0
2.735 -3.922 0.000
2.735 3.922 0.000
0.000 0.000 3.329
Mg Al Au
1 2 1
direct
0.000 0.000 0.000 Mg
0.000 0.500 0.500 Al
0.500 0.000 0.500 Al
0.500 0.500 0.000 Au

[16]
P2HS | Alexandria | PBE | optimized geometry; energy above the lowest structure with this stoichiometry = 0.291 eV per atom
1.0
0.000 2.941 2.941
2.941 0.000 2.941
2.941 2.941 0.000
P H S
2 1 1
direct
0.250 0.250 0.250 P
0.750 0.750 0.750 P
0.000 0.000 0.000 H
0.500 0.500 0.500 S

[17]
Ho2MgCu9 | Alexandria | PBE | optimized geometry; energy of formation from the pure elements = -146 meV per atom
1.0
2.540 1.466 8.267
-2.540 1.466 8.267
0.000 -2.933 8.267
Ho Mg Cu
2 1 9
direct
0.137 0.137 0.137 Ho
0.863 0.863 0.863 Ho
0.000 0.000 0.000 Mg
0.080 0.582 0.582 Cu
0.333 0.333 0.333 Cu
0.418 0.418 0.920 Cu
0.418 0.920 0.418 Cu
0.500 0.500 0.500 Cu
0.582 0.080 0.582 Cu
0.582 0.582 0.080 Cu
0.667 0.667 0.667 Cu
0.920 0.418 0.418 Cu

[18]
TaNb2Ru3 | Alexandria | PBE | optimized geometry; energy above the lowest structure with this stoichiometry = 0.005 eV per atom; energy of formation from the pure elements = -253 meV per atom
1.0
4.339 0.000 0.000
0.000 6.871 0.000
-2.157 0.000 6.508
Ta Nb Ru
2 4 6
direct
0.166 0.000 0.333 Ta
0.834 0.000 0.667 Ta
0.167 0.500 0.334 Nb
0.500 0.000 0.000 Nb
0.500 0.500 0.000 Nb
0.833 0.500 0.666 Nb
0.000 0.233 0.000 Ru
0.000 0.767 0.000 Ru
0.333 0.231 0.666 Ru
0.333 0.769 0.666 Ru
0.667 0.231 0.334 Ru
0.667 0.769 0.334 Ru

[19]
Pm6Co2Hg | Alexandria | PBE | optimized geometry; energy above the lowest structure with this stoichiometry = 0.086 eV per atom; energy of formation from the pure elements = -97 meV per atom
1.0
5.097 -2.572 0.000
5.097 2.572 0.000
-1.807 0.000 8.940
Pm Co Hg
6 2 1
direct
0.033 0.033 0.346 Pm
0.292 0.292 0.659 Pm
0.337 0.337 0.121 Pm
0.663 0.663 0.879 Pm
0.708 0.708 0.341 Pm
0.967 0.967 0.654 Pm
0.389 0.389 0.409 Co
0.611 0.611 0.591 Co
0.000 0.000 0.000 Hg

[20]
PSeCl | Alexandria | PBE | optimized geometry; uncorrected formation energy = -0.29 eV per atom
1.0
3.364 0.000 0.000
-1.516 6.934 0.000
-0.187 -1.187 9.384
P Se Cl
2 2 2
direct
0.057 0.106 0.175 P
0.943 0.894 0.825 P
0.473 0.910 0.248 Se
0.527 0.090 0.752 Se
0.173 0.344 0.334 Cl
0.827 0.656 0.666 Cl

[21]
La3Ru | Alexandria | PBE | optimized geometry; energy of formation from the pure elements = -242 meV per atom
1.0
7.383 0.000 0.000
0.000 10.125 0.000
0.000 0.000 6.582
La Ru
12 4
direct
0.051 0.250 0.151 La
0.168 0.070 0.673 La
0.168 0.430 0.673 La
0.332 0.570 0.173 La
0.332 0.930 0.173 La
0.449 0.750 0.651 La
0.551 0.250 0.349 La
0.668 0.070 0.827 La
0.668 0.430 0.827 La
0.832 0.570 0.327 La
0.832 0.930 0.327 La
0.949 0.750 0.849 La
0.120 0.750 0.445 Ru
0.380 0.250 0.945 Ru
0.620 0.750 0.055 Ru
0.880 0.250 0.555 Ru

[22]
NaPNO2 | Alexandria | PBE | optimized geometry; uncorrected formation energy = 1.93 eV per atom
1.0
3.997 0.000 0.000
0.000 3.997 0.000
0.000 0.000 5.762
Na P N O
1 1 1 2
direct
0.000 0.000 0.000 Na
0.000 0.000 0.500 P
0.500 0.500 0.500 N
0.000 0.500 0.000 O
0.500 0.000 0.000 O